A relaxed Nd6As3S2Br crystal, computed with GGA-PBE.

```
12
Lattice="9.1711 -2.1066 0.0000 9.1711 2.1066 0.0000 -1.8465 0.0000 8.2278" Properties=species:S:1:pos:R:3 pbc="T T T"
Nd -0.4410 0.0000 2.2421
Nd 4.2573 0.0000 7.4659
Nd 5.3124 0.0000 3.4307
Nd 11.1834 0.0000 4.7971
Nd 12.2384 0.0000 0.7619
Nd 16.9368 0.0000 5.9858
As 1.4238 0.0000 6.8692
As 8.2479 0.0000 4.1139
As 15.0719 0.0000 1.3586
S 2.4487 0.0000 2.7362
S 14.0470 0.0000 5.4916
Br 9.1711 0.0000 0.0000
```

Calculated values
formation energy without anion corrections = -1.6674 eV/atom
magnetic moment = 0.000 μB/atom